Here is crystalline K2PaCuSe4 at its relaxed geometry from Alexandria. Energies are from PBE-GGA.

abc: 4.400 6.587 8.103
angles: 105.35 90.00 90.00
Fractional positions:
Se 0.000 0.230 0.775
Cu 0.500 0.500 0.000
K 0.000 0.500 0.500
Pa 0.000 0.000 0.000
Se 0.500 0.256 0.180
Se 0.000 0.770 0.225
K 0.500 0.000 0.500
Se 0.500 0.744 0.820

D(E_F), states/eV/atom: 0.004
SG: P2/m (10)
Energy relative to the elements, uncorrected, eV per atom: -1.05
Calculated volume, A^3/atom: 28.31


Here is crystalline CaHgSe2 at its relaxed geometry from Alexandria. Energies are from PBE-GGA.

abc: 5.037 5.037 5.037
angles: 112.79 112.79 103.02
Fractional positions:
Hg 0.750 0.250 0.500
Se 0.000 0.000 0.000
Ca 0.250 0.750 0.500
Se 0.500 0.500 0.000

D(E_F), states/eV/atom: 0.519
SG: I4/mmm (139)
Energy relative to the elements, uncorrected, eV per atom: -0.70
Calculated volume, A^3/atom: 24.36


Number 2 is which compound?
CaHgSe2